## Gd4DyY (PBE)

Data for an optimized crystal structure of Gd4DyY.

Cell: 6.5761 6.5761 6.5761 Å, 60.00 60.00 60.00°
Sites, in units of the cell vectors:
Gd 0.1250 0.1250 0.1250
Gd 0.1250 0.1250 0.6251
Gd 0.1250 0.6251 0.1250
Gd 0.6251 0.1250 0.1250
Dy 0.7500 0.7500 0.7500
Y 0.5000 0.5000 0.5000

Computed properties:
As for the space group: No. 216. The formation energy comes out at 0.241 eV per atom.

=====

## Ca2CrPt (PBE)

Data for an optimized crystal structure of Ca2CrPt.

Cell: 4.9812 4.9812 4.9812 Å, 60.00 60.00 60.00°
Sites, in units of the cell vectors:
Ca 0.0000 0.0000 0.0000
Ca 0.2500 0.2500 0.2500
Cr 0.5000 0.5000 0.5000
Pt 0.7500 0.7500 0.7500

Computed properties:
As for the space group: No. 216. The formation energy comes out at 0.008 eV per atom. The excess energy over the best structure of this formula in the dataset comes out at 234 meV per atom.

=====

## GaOs2Cl (PBE)

Data for an optimized crystal structure of GaOs2Cl.

Cell: 6.3441 6.3441 6.3441 Å, 127.44 127.44 77.53°
Sites, in units of the cell vectors:
Ga 0.0000 0.0000 0.0000
Ga 0.7500 0.2500 0.5000
Os 0.1601 0.6250 0.0351
Os 0.3750 0.4101 0.5351
Os 0.5899 0.1250 0.9649
Os 0.8750 0.8399 0.4649
Cl 0.2500 0.7500 0.5000
Cl 0.5000 0.5000 0.0000

Computed properties:
As for the space group: No. 122. For the formation energy without anion corrections, the calculation gives 1.423 eV per atom. The excess energy over the best structure of this formula in the dataset comes out at 355 meV per atom.

=====

## SrScNbH2 (PBE)

Data for an optimized crystal structure of SrScNbH2.

Cell: 4.3282 4.3282 5.0218 Å, 90.00 90.00 90.00°
Sites, in units of the cell vectors:
Sr 0.0000 0.0000 0.0000
Sc 0.5000 0.5000 0.0000
Nb 0.5000 0.5000 0.5000
H 0.0000 0.5000 0.5000
H 0.5000 0.0000 0.5000

Computed properties:
The total energy comes out at -4.260 eV/atom. As for the space group: No. 123.

=====

## LiTiI2 (PBE)

Data for an optimized crystal structure of LiTiI2.

Cell: 5.2065 5.2065 5.2065 Å, 60.00 60.00 60.00°
Sites, in units of the cell vectors:
Li 0.0000 0.0000 0.0000
Ti 0.5000 0.5000 0.5000
I 0.2500 0.2500 0.2500
I 0.7500 0.7500 0.7500

Computed properties:
As for the space group: No. 225. For the formation energy without anion corrections, the calculation gives -0.209 eV per atom. The excess energy over the best structure of this formula in the dataset comes out at 155 meV per atom.

=====

## NdPuCu2Ge2 (PBE)

Data for an optimized crystal structure of NdPuCu2Ge2.

Cell: 4.2713 4.2713 7.7443 Å, 90.00 90.00 120.00°
Sites, in units of the cell vectors:
Nd 0.0000 0.0000 0.0000
Pu 0.0000 0.0000 0.5000
Cu 0.3333 0.6667 0.2577
Cu 0.6667 0.3333 0.7423
Ge 0.3333 0.6667 0.7404
Ge 0.6667 0.3333 0.2596

Computed properties:
As for the space group: No. 164. The formation energy comes out at -0.487 eV per atom.

=====

## LaZrCr (PBE)

Data for an optimized crystal structure of LaZrCr.

Cell: 6.5864 6.5864 6.5864 Å, 150.19 150.19 42.66°
Sites, in units of the cell vectors:
La 0.0000 0.0000 0.0000
Zr 0.7229 0.7229 0.0000
Cr 0.3345 0.3345 0.0000

Computed properties:
As for the space group: No. 107. The formation energy comes out at 0.392 eV per atom. The excess energy over the best structure of this formula in the dataset comes out at 0 meV per atom.

=====

## HoSi2Ni (PBE)

Data for an optimized crystal structure of HoSi2Ni.

Cell: 5.5160 5.5160 5.5160 Å, 41.20 41.20 41.20°
Sites, in units of the cell vectors:
Ho 0.0000 0.0000 0.0000
Si 0.2111 0.2111 0.2111
Si 0.7889 0.7889 0.7889
Ni 0.5000 0.5000 0.5000

Computed properties:
As for the space group: No. 166. For the formation energy without anion corrections, the calculation gives -0.762 eV per atom.

=====

## Sr2TcRu (PBE)

Data for an optimized crystal structure of Sr2TcRu.

Cell: 5.2054 5.2054 5.2054 Å, 60.00 60.00 60.00°
Sites, in units of the cell vectors:
Sr 0.2500 0.2500 0.2500
Sr 0.7500 0.7500 0.7500
Tc 0.0000 0.0000 0.0000
Ru 0.5000 0.5000 0.5000

Computed properties:
As for the space group: No. 225. The formation energy comes out at 1.068 eV per atom. The excess energy over the best structure of this formula in the dataset comes out at 891 meV per atom.

=====

## NdEr2Al2 (PBE)

Data for an optimized crystal structure of NdEr2Al2.

Cell: 3.6425 5.2148 13.6073 Å, 90.00 97.69 90.00°
Sites, in units of the cell vectors:
Nd 0.1435 0.2500 0.2893
Nd 0.8565 0.7500 0.7107
Er 0.0469 0.7500 0.0942
Er 0.2323 0.7500 0.4656
Er 0.7677 0.2500 0.5344
Er 0.9531 0.2500 0.9058
Al 0.3599 0.2500 0.7188
Al 0.4532 0.7500 0.9067
Al 0.5468 0.2500 0.0933
Al 0.6401 0.7500 0.2812

Computed properties:
As for the space group: No. 11. The formation energy comes out at -0.290 eV per atom. The excess energy over the best structure of this formula in the dataset comes out at 0 meV per atom.

=====

## LaHo2Hg (PBE)

Data for an optimized crystal structure of LaHo2Hg.

Cell: 10.8506 10.8506 10.8506 Å, 19.34 19.34 19.34°
Sites, in units of the cell vectors:
La 0.0000 0.0000 0.0000
Ho 0.2406 0.2406 0.2406
Ho 0.7594 0.7594 0.7594
Hg 0.5000 0.5000 0.5000

Computed properties:
As for the space group: No. 166. The formation energy comes out at -0.171 eV per atom. The excess energy over the best structure of this formula in the dataset comes out at 66 meV per atom.

=====

## KIn8Hg6 (PBE)

Data for an optimized crystal structure of KIn8Hg6.

Cell: 7.7931 7.7931 7.7931 Å, 73.63 73.63 73.63°
Sites, in units of the cell vectors:
K 0.0000 0.0000 0.0000
In 0.1460 0.8127 0.4630
In 0.1873 0.5370 0.8540
In 0.2185 0.2185 0.2185
In 0.4630 0.1460 0.8127
In 0.5370 0.8540 0.1873
In 0.7815 0.7815 0.7815
In 0.8127 0.4630 0.1460
In 0.8540 0.1873 0.5370
Hg 0.1666 0.3371 0.5823
Hg 0.3371 0.5823 0.1666
Hg 0.4177 0.8334 0.6629
Hg 0.5823 0.1666 0.3371
Hg 0.6629 0.4177 0.8334
Hg 0.8334 0.6629 0.4177

Computed properties:
As for the space group: No. 148. The formation energy comes out at -0.034 eV per atom.

=====

Magnetization readings, ordered: 28.48; 4.45; 0.00; 0.48; 2.74; 5.13; 0.85; 0.00; 3.53; 0.00; 0.00; 0.00 μB per formula unit